No. 1
DFT (PBE) results for a relaxed CsSc2HPt crystal.

Properties
As for the density of states at the Fermi level: 4.1 states/eV per cell. The value obtained for the final energy is -4.359 eV/atom. Its total magnetization is 0.00 μB per cell. Its volume is 185.7 Å³/cell. The space group is No. 123.

abc: 5.0028 5.0028 7.4179
angles: 90.00 90.00 90.00
Fractional coordinates of all 5 atoms:
Cs 0.0000 0.0000 0.0000
Sc 0.0000 0.5000 0.5000
Sc 0.5000 0.0000 0.5000
H 0.5000 0.5000 0.0000
Pt 0.0000 0.0000 0.5000

=====

No. 2
DFT (PBE) results for a relaxed La6TlAg crystal.

Properties
As for the density of states at the Fermi level: 12.6 states/eV per cell. As for the energy of formation: -0.159 eV per atom. The value obtained for the final energy is -4.507 eV/atom. Its total magnetization is 0.00 μB per cell. Its volume is 265.6 Å³/cell. The space group is No. 139.

abc: 9.8072 9.8072 9.8072
angles: 147.89 147.89 46.05
Fractional coordinates of all 8 atoms:
La 0.1109 0.6109 0.5000
La 0.2489 0.2489 0.0000
La 0.3891 0.8891 0.5000
La 0.6109 0.1109 0.5000
La 0.7511 0.7511 0.0000
La 0.8891 0.3891 0.5000
Tl 0.0000 0.0000 0.0000
Ag 0.5000 0.5000 0.0000

=====

No. 3
DFT (PBE) results for a relaxed SrMg2Bi2 crystal.

Properties
As for the density of states at the Fermi level: 0.0 states/eV per cell. As for the energy of formation: -0.514 eV per atom. The value obtained for the final energy is -3.040 eV/atom. Its total magnetization is 0.00 μB per cell. Its volume is 158.8 Å³/cell. The space group is No. 139.

abc: 8.1713 8.1713 8.1713
angles: 147.28 147.28 46.95
Fractional coordinates of all 5 atoms:
Sr 0.0000 0.0000 0.0000
Mg 0.2500 0.7500 0.5000
Mg 0.7500 0.2500 0.5000
Bi 0.3779 0.3779 0.0000
Bi 0.6221 0.6221 0.0000